NiAg2Cl | PBEsol | optimized geometry

Calculated values
- raw formation energy (eV per atom) = 0.38
- E_tot (eV per formula unit) = -13.260
- calculated volume (A^3/atom) = 15.8
- crystal system = orthorhombic
- excess energy over the best structure of this formula in the dataset (meV per atom) = 0

Lattice parameters (Å, degrees): 3.0810 4.4503 4.6149 90.00 90.00 90.00
Closest atoms and distances in Å follow each position.
Sites, in units of the cell vectors:
Ni: 0.0000 0.5000 0.5000  4 Cl 2.71, 4 Ag 2.77
Ag: 0.5000 0.5000 0.0000  4 Ag 2.71, 4 Ni 2.77
Ag: 0.0000 0.0000 0.0000  4 Ag 2.71, 4 Cl 2.77
Cl: 0.5000 0.0000 0.5000  4 Ni 2.71, 4 Ag 2.77